(1)
The following is a DFT calculation (PBE) of an optimized crystal structure of LiTmGe2Pd2.

## Properties
Formation energy from the elements   -746 meV/atom

Cell lengths 4.2938, 4.2938, 6.4759 Å; angles 90.00, 90.00, 120.00 degrees
Closest atoms and distances in Å follow each position.
Space group P-3m1 (No. 164)
Unique sites:
Li  0.0000  0.0000  0.0000 x1  6 Pd 2.71, 6 Ge 2.91
Tm  0.0000  0.0000  0.5000 x1  6 Ge 3.01, 2 Li 3.24, 6 Pd 3.28
Ge  0.3333  0.6667  0.7645 x2  4 Pd 2.52-2.61
Pd  0.3333  0.6667  0.1679 x2  4 Ge 2.52-2.61, 3 Li 2.71

***

(2)
The following is a DFT calculation (PBE) of an optimized crystal structure of La5Sm4Y4.

## Properties
Formation energy from the elements   24 meV/atom

Cell lengths 13.1885, 13.1885, 5.1755 Å; angles 90.00, 90.00, 90.00 degrees
Closest atoms and distances in Å follow each position.
Space group I4/m (No. 87)
Unique sites:
La  0.0000  0.0000  0.0000 x2  8 La 3.67, 4 Sm 3.70
La  0.0383  0.8067  0.5000 x8  5 Sm 3.61-3.68, 3 Y 3.65-3.67, 4 La 3.67-3.68
Sm  0.1552  0.2333  0.0000 x8  6 La 3.61-3.70, 2 Sm 3.62, 4 Y 3.65-3.69
Y  0.0756  0.6134  0.0000 x8  5 Y 3.60-3.63, 3 La 3.65-3.67, 4 Sm 3.65-3.69

***

(3)
The following is a DFT calculation (PBE) of an optimized crystal structure of TmZn2Pd5.

## Properties
Formation energy from the elements   -729 meV/atom
Polymorph energy (0 for the lowest one)   0 meV per atom

Cell lengths 4.1307, 4.1307, 14.8824 Å; angles 90.00, 90.00, 90.00 degrees
Closest atoms and distances in Å follow each position.
Space group I4/mmm (No. 139)
Unique sites:
Tm  0.0000  0.0000  0.0000 x2  12 Pd 2.92
Zn  0.0000  0.0000  0.2516 x4  8 Pd 2.63-2.66, 4 Zn 2.92
Pd  0.0000  0.0000  0.5000 x2  4 Tm 2.92, 8 Pd 2.92
Pd  0.0000  0.5000  0.1390 x8  4 Zn 2.63-2.66, 6 Pd 2.92, 2 Tm 2.92

***

(4)
The following is a DFT calculation (PBE) of an optimized crystal structure of Dy2ErAlO.

## Properties
Formation energy from raw total energies   -1.368 eV per atom

Cell lengths 4.7301, 4.7301, 4.6635 Å; angles 90.00, 90.00, 90.00 degrees
Closest atoms and distances in Å follow each position.
Space group P4/mmm (No. 123)
Unique sites:
Dy  0.0000  0.5000  0.0000 x2  2 O 2.37
Er  0.0000  0.0000  0.5000 x1  2 O 2.33
Al  0.5000  0.5000  0.5000 x1  8 Dy 3.32, 4 Er 3.34
O  0.0000  0.0000  0.0000 x1  2 Er 2.33, 4 Dy 2.37

***

For the records above, the corresponding total magnetic moment values read 0.00, 0.00, 0.00, 0.00 μB/atom.
For the records above, the corresponding E values read -5.080, -5.312, -4.852, -5.862 eV/atom.